Model 1:
Here is an optimized crystal structure of DyTmGaAu from Alexandria. Energies are from PBE-GGA.

a = 4.4976 Å, b = 3.7575 Å, c = 11.1028 Å
α = 90.00°, β = 90.00°, γ = 90.00°
Last column: nearest neighbours and their distance in Å.
Space group Amm2 (No. 38)
Asymmetric unit:
Dy 0.0000 0.0000 0.0000 x2  4 Ga 3.02, 3 Au 3.03-3.14
Tm 0.5000 0.0000 0.2887 x2  4 Au 3.01, 3 Ga 3.06-3.12
Ga 0.5000 0.0000 0.5645 x2  2 Au 2.88, 4 Dy 3.02, 3 Tm 3.06-3.12
Au 0.0000 0.0000 0.7268 x2  2 Ga 2.88, 4 Tm 3.01, 3 Dy 3.03-3.14

- calculated volume (Å³/f.u.) = 93.8
- total magnetization (μB/f.u.) = 0.00

Model 2:
Here is an optimized crystal structure of DyTmGaAu from Alexandria. Energies are from PBE-GGA.

a = 7.1611 Å, b = 7.1611 Å, c = 7.1611 Å
α = 90.00°, β = 90.00°, γ = 90.00°
Last column: nearest neighbours and their distance in Å.
Space group F-43m (No. 216)
Asymmetric unit:
Dy 0.0000 0.0000 0.0000 x4  4 Ga 3.10, 4 Au 3.10
Tm 0.0000 0.0000 0.5000 x4  4 Ga 3.10, 4 Au 3.10
Ga 0.2500 0.2500 0.2500 x4  4 Dy 3.10, 4 Tm 3.10
Au 0.2500 0.2500 0.7500 x4  4 Dy 3.10, 4 Tm 3.10

- calculated volume (Å³/f.u.) = 91.8
- total magnetization (μB/f.u.) = 0.00

Quick one: least stable of them? model 2

Model 1:
Here is an optimized crystal structure of GdDyAu from Alexandria. Energies are from PBE-GGA.

a = 3.6210 Å, b = 3.6210 Å, c = 12.2457 Å
α = 90.00°, β = 90.00°, γ = 90.00°
Last column: nearest neighbours and their distance in Å.
Space group I4mm (No. 107)
Asymmetric unit:
Gd 0.0000 0.0000 0.0000 x2  4 Au 3.17
Dy 0.0000 0.0000 0.2905 x2  4 Au 3.06
Au 0.0000 0.0000 0.6530 x2  4 Dy 3.06, 4 Gd 3.17

- calculated volume (Å³/f.u.) = 80.3
- total magnetization (μB/f.u.) = 8.11

Model 2:
Here is an optimized crystal structure of GdDyAu from Alexandria. Energies are from PBE-GGA.

a = 4.9165 Å, b = 4.9165 Å, c = 3.8299 Å
α = 90.00°, β = 90.00°, γ = 120.00°
Last column: nearest neighbours and their distance in Å.
Space group P3m1 (No. 156)
Asymmetric unit:
Gd 0.0000 0.0000 0.0000 x1  3 Au 3.06, 3 Dy 3.35
Dy 0.6667 0.3333 0.4639 x1  3 Au 2.98
Au 0.3333 0.6667 0.7005 x1  3 Dy 2.98, 3 Gd 3.06

- calculated volume (Å³/f.u.) = 80.2
- total magnetization (μB/f.u.) = 7.08

Model 3:
Here is an optimized crystal structure of GdDyAu from Alexandria. Energies are from PBE-GGA.

a = 7.0638 Å, b = 7.0638 Å, c = 7.0638 Å
α = 90.00°, β = 90.00°, γ = 90.00°
Last column: nearest neighbours and their distance in Å.
Space group F-43m (No. 216)
Asymmetric unit:
Gd 0.0000 0.0000 0.0000 x4  4 Au 3.06
Dy 0.0000 0.0000 0.5000 x4  4 Au 3.06
Au 0.2500 0.2500 0.7500 x4  4 Gd 3.06, 4 Dy 3.06

- calculated volume (Å³/f.u.) = 88.1
- total magnetization (μB/f.u.) = 7.50

Quick one: least stable of them? model 2

Model 1:
Here is an optimized crystal structure of Gd2DyAu from Alexandria. Energies are from PBE-GGA.

a = 3.6383 Å, b = 3.6383 Å, c = 8.5563 Å
α = 90.00°, β = 90.00°, γ = 90.00°
Last column: nearest neighbours and their distance in Å.
Space group P4/mmm (No. 123)
Asymmetric unit:
Gd 0.0000 0.0000 0.2096 x2  4 Au 3.14
Dy 0.5000 0.5000 0.5000 x1  8 Gd 3.58, 4 Dy 3.64
Au 0.5000 0.5000 0.0000 x1  8 Gd 3.14

- calculated volume (Å³/f.u.) = 113.3
- total magnetization (μB/f.u.) = 15.13

Model 2:
Here is an optimized crystal structure of Gd2DyAu from Alexandria. Energies are from PBE-GGA.

a = 4.6984 Å, b = 4.6984 Å, c = 4.8511 Å
α = 90.00°, β = 90.00°, γ = 90.00°
Last column: nearest neighbours and their distance in Å.
Space group P4/mmm (No. 123)
Asymmetric unit:
Gd 0.0000 0.5000 0.0000 x2  4 Gd 3.32, 4 Dy 3.38, 4 Au 3.38
Dy 0.0000 0.0000 0.5000 x1  4 Au 3.32, 8 Gd 3.38
Au 0.5000 0.5000 0.5000 x1  4 Dy 3.32, 8 Gd 3.38

- calculated volume (Å³/f.u.) = 107.1
- total magnetization (μB/f.u.) = 15.68

Quick one: least stable of them? model 2